The following is a GGA+U calculation of a relaxed structure of Mn2FeF, from Alexandria via LeMat-Bulk.

Summary:
The space group is I-42d, No. 122. For the relative energy among the computed polymorphs, the calculation gives 0.0 meV/atom. The electronic total energy is -5.604 eV/atom. As for the crystal system: tetragonal. The total magnetization comes out at 25.42 μB/cell.

Cell lengths 5.631, 5.631, 5.631 Å; angles 106.26, 106.26, 116.11 degrees
Atoms (fractional coordinates):
Mn: 0.061 0.625 0.936
Mn: 0.375 0.311 0.436
Mn: 0.689 0.125 0.064
Mn: 0.875 0.939 0.564
Fe: 0.250 0.750 0.500
Fe: 0.500 0.500 0.000
F: 0.000 0.000 0.000
F: 0.750 0.250 0.500